1.
A plane-wave DFT calculation with PBE was carried out for a geometry-optimized GaTc3Rh structure.

Results
Raw total energy in eV/atom: -6.54
Symmetry: Pm-3m, No. 221
ΔE to the lowest computed polymorph in meV/atom: 170
Formation energy in eV/atom: 1.7564

Cell lengths 4.676, 4.676, 4.676 Å; angles 90.00, 90.00, 90.00 degrees
Fractional coordinates of all 5 atoms:
Ga (0.000, 0.000, 0.000)
Tc (0.000, 0.500, 0.500)
Tc (0.500, 0.000, 0.500)
Tc (0.500, 0.500, 0.000)
Rh (0.500, 0.500, 0.500)

2.
A plane-wave DFT calculation with PBE was carried out for a geometry-optimized Ga2Tc2Rh structure.

Results
Raw total energy in eV/atom: -6.81
Symmetry: P4/mbm, No. 127
ΔE to the lowest computed polymorph in meV/atom: 0
Formation energy in eV/atom: 0.0209

Cell lengths 6.536, 6.536, 3.454 Å; angles 90.00, 90.00, 90.00 degrees
Fractional coordinates of all 10 atoms:
Ga (0.137, 0.363, 0.000)
Ga (0.363, 0.863, 0.000)
Ga (0.637, 0.137, 0.000)
Ga (0.863, 0.637, 0.000)
Tc (0.166, 0.666, 0.500)
Tc (0.334, 0.166, 0.500)
Tc (0.666, 0.834, 0.500)
Tc (0.834, 0.334, 0.500)
Rh (0.000, 0.000, 0.000)
Rh (0.500, 0.500, 0.000)

3.
A plane-wave DFT calculation with PBE was carried out for a geometry-optimized Ga4TcRh structure.

Results
Raw total energy in eV/atom: -5.10
Symmetry: Cmmm, No. 65
Formation energy in eV/atom: -0.1269

Cell lengths 6.540, 6.540, 2.780 Å; angles 90.00, 90.00, 90.12 degrees
Fractional coordinates of all 6 atoms:
Ga (0.234, 0.766, 0.000)
Ga (0.274, 0.274, 0.500)
Ga (0.726, 0.726, 0.500)
Ga (0.766, 0.234, 0.000)
Tc (0.000, 0.000, 0.500)
Rh (0.500, 0.500, 0.000)

4.
A plane-wave DFT calculation with PBE was carried out for a geometry-optimized GaTc2Rh2 structure.

Results
Raw total energy in eV/atom: -7.52
Symmetry: P4/mbm, No. 127
ΔE to the lowest computed polymorph in meV/atom: 0
Formation energy in eV/atom: 0.1748

Cell lengths 7.545, 7.545, 2.759 Å; angles 90.00, 90.00, 90.00 degrees
Fractional coordinates of all 10 atoms:
Ga (0.000, 0.000, 0.000)
Ga (0.500, 0.500, 0.000)
Tc (0.122, 0.378, 0.000)
Tc (0.378, 0.878, 0.000)
Tc (0.622, 0.122, 0.000)
Tc (0.878, 0.622, 0.000)
Rh (0.169, 0.669, 0.500)
Rh (0.331, 0.169, 0.500)
Rh (0.669, 0.831, 0.500)
Rh (0.831, 0.331, 0.500)

5.
A plane-wave DFT calculation with PBE was carried out for a geometry-optimized GaTc2Rh structure.

Results
Raw total energy in eV/atom: -7.26
Symmetry: I-42d, No. 122
Formation energy in eV/atom: 0.5149

Cell lengths 5.576, 5.576, 5.576 Å; angles 102.44, 102.44, 124.70 degrees
Fractional coordinates of all 8 atoms:
Ga (0.000, 0.000, 0.000)
Ga (0.750, 0.250, 0.500)
Tc (0.127, 0.625, 0.002)
Tc (0.375, 0.377, 0.502)
Tc (0.623, 0.125, 0.998)
Tc (0.875, 0.873, 0.498)
Rh (0.250, 0.750, 0.500)
Rh (0.500, 0.500, 0.000)

6.
A plane-wave DFT calculation with PBE was carried out for a geometry-optimized Ga4TcRh5 structure.

Results
Raw total energy in eV/atom: -6.44
Symmetry: P4/mmm, No. 123
Formation energy in eV/atom: -0.5164

Cell lengths 2.890, 2.890, 16.814 Å; angles 90.00, 90.00, 90.00 degrees
Fractional coordinates of all 10 atoms:
Ga (0.000, 0.000, 0.098)
Ga (0.000, 0.000, 0.293)
Ga (0.000, 0.000, 0.707)
Ga (0.000, 0.000, 0.902)
Tc (0.000, 0.000, 0.500)
Rh (0.500, 0.500, 0.000)
Rh (0.500, 0.500, 0.196)
Rh (0.500, 0.500, 0.391)
Rh (0.500, 0.500, 0.609)
Rh (0.500, 0.500, 0.804)

7.
A plane-wave DFT calculation with PBE was carried out for a geometry-optimized Ga2TcRh2 structure.

Results
Raw total energy in eV/atom: -6.50
Symmetry: P4/mbm, No. 127
ΔE to the lowest computed polymorph in meV/atom: 0
Formation energy in eV/atom: -0.2788

Cell lengths 7.153, 7.153, 2.827 Å; angles 90.00, 90.00, 90.00 degrees
Fractional coordinates of all 10 atoms:
Ga (0.137, 0.363, 0.000)
Ga (0.363, 0.863, 0.000)
Ga (0.637, 0.137, 0.000)
Ga (0.863, 0.637, 0.000)
Tc (0.000, 0.000, 0.000)
Tc (0.500, 0.500, 0.000)
Rh (0.163, 0.663, 0.500)
Rh (0.337, 0.163, 0.500)
Rh (0.663, 0.837, 0.500)
Rh (0.837, 0.337, 0.500)

8.
A plane-wave DFT calculation with PBE was carried out for a geometry-optimized Ga5TcRh4 structure.

Results
Raw total energy in eV/atom: -6.05
Symmetry: P4/mmm, No. 123
Formation energy in eV/atom: -0.5585

Cell lengths 3.040, 3.040, 15.236 Å; angles 90.00, 90.00, 90.00 degrees
Fractional coordinates of all 10 atoms:
Ga (0.000, 0.000, 0.000)
Ga (0.000, 0.000, 0.201)
Ga (0.000, 0.000, 0.401)
Ga (0.000, 0.000, 0.599)
Ga (0.000, 0.000, 0.799)
Tc (0.500, 0.500, 0.500)
Rh (0.500, 0.500, 0.099)
Rh (0.500, 0.500, 0.297)
Rh (0.500, 0.500, 0.703)
Rh (0.500, 0.500, 0.901)

9.
A plane-wave DFT calculation with PBE was carried out for a geometry-optimized GaTc3Rh structure.

Results
Raw total energy in eV/atom: -6.71
Symmetry: Pm-3m, No. 221
ΔE to the lowest computed polymorph in meV/atom: 0
Formation energy in eV/atom: 1.5862

Cell lengths 4.455, 4.455, 4.455 Å; angles 90.00, 90.00, 90.00 degrees
Fractional coordinates of all 5 atoms:
Ga (0.000, 0.000, 0.000)
Tc (0.000, 0.000, 0.500)
Tc (0.000, 0.500, 0.000)
Tc (0.500, 0.000, 0.000)
Rh (0.500, 0.500, 0.500)

10.
A plane-wave DFT calculation with PBE was carried out for a geometry-optimized Ga2Tc2Rh structure.

Results
Raw total energy in eV/atom: -6.57
Symmetry: I4/mmm, No. 139
ΔE to the lowest computed polymorph in meV/atom: 233
Formation energy in eV/atom: 0.2534

Cell lengths 7.011, 7.011, 7.011 Å; angles 151.07, 151.07, 41.37 degrees
Fractional coordinates of all 5 atoms:
Ga (0.095, 0.095, 0.000)
Ga (0.905, 0.905, 0.000)
Tc (0.250, 0.750, 0.500)
Tc (0.750, 0.250, 0.500)
Rh (0.500, 0.500, 0.000)

11.
A plane-wave DFT calculation with PBE was carried out for a geometry-optimized GaTc2Rh2 structure.

Results
Raw total energy in eV/atom: -7.41
Symmetry: I4/mmm, No. 139
ΔE to the lowest computed polymorph in meV/atom: 105
Formation energy in eV/atom: 0.2795

Cell lengths 6.339, 6.339, 6.339 Å; angles 145.29, 145.29, 49.90 degrees
Fractional coordinates of all 5 atoms:
Ga (0.000, 0.000, 0.000)
Tc (0.402, 0.402, 0.000)
Tc (0.598, 0.598, 0.000)
Rh (0.250, 0.750, 0.500)
Rh (0.750, 0.250, 0.500)

12.
A plane-wave DFT calculation with PBE was carried out for a geometry-optimized GaTcRh6 structure.

Results
Raw total energy in eV/atom: -7.42
Symmetry: P4/mmm, No. 123
Formation energy in eV/atom: -0.2295

Cell lengths 3.837, 3.837, 7.715 Å; angles 90.00, 90.00, 90.00 degrees
Fractional coordinates of all 8 atoms:
Ga (0.000, 0.000, 0.000)
Tc (0.000, 0.000, 0.500)
Rh (0.000, 0.500, 0.255)
Rh (0.000, 0.500, 0.745)
Rh (0.500, 0.000, 0.255)
Rh (0.500, 0.000, 0.745)
Rh (0.500, 0.500, 0.000)
Rh (0.500, 0.500, 0.500)

13.
A plane-wave DFT calculation with PBE was carried out for a geometry-optimized Ga2Tc2Rh structure.

Results
Raw total energy in eV/atom: -6.71
Symmetry: P4/mbm, No. 127
ΔE to the lowest computed polymorph in meV/atom: 100
Formation energy in eV/atom: 0.1212

Cell lengths 7.252, 7.252, 2.924 Å; angles 90.00, 90.00, 90.00 degrees
Fractional coordinates of all 10 atoms:
Ga (0.181, 0.319, 0.000)
Ga (0.319, 0.819, 0.000)
Ga (0.681, 0.181, 0.000)
Ga (0.819, 0.681, 0.000)
Tc (0.116, 0.616, 0.500)
Tc (0.384, 0.116, 0.500)
Tc (0.616, 0.884, 0.500)
Tc (0.884, 0.384, 0.500)
Rh (0.000, 0.000, 0.500)
Rh (0.500, 0.500, 0.500)

14.
A plane-wave DFT calculation with PBE was carried out for a geometry-optimized Ga2TcRh2 structure.

Results
Raw total energy in eV/atom: -6.38
Symmetry: P4/mbm, No. 127
ΔE to the lowest computed polymorph in meV/atom: 126
Formation energy in eV/atom: -0.1525

Cell lengths 7.287, 7.287, 2.787 Å; angles 90.00, 90.00, 90.00 degrees
Fractional coordinates of all 10 atoms:
Ga (0.164, 0.336, 0.000)
Ga (0.336, 0.836, 0.000)
Ga (0.664, 0.164, 0.000)
Ga (0.836, 0.664, 0.000)
Tc (0.000, 0.000, 0.500)
Tc (0.500, 0.500, 0.500)
Rh (0.135, 0.635, 0.500)
Rh (0.365, 0.135, 0.500)
Rh (0.635, 0.865, 0.500)
Rh (0.865, 0.365, 0.500)

15.
A plane-wave DFT calculation with PBE was carried out for a geometry-optimized TiGaTcRh structure.

Results
Raw total energy in eV/atom: -7.78
Symmetry: Pmmm, No. 47
ΔE to the lowest computed polymorph in meV/atom: 0
Formation energy in eV/atom: -0.6216

Cell lengths 3.149, 4.233, 4.335 Å; angles 90.00, 90.00, 90.00 degrees
Fractional coordinates of all 4 atoms:
Ti (0.000, 0.000, 0.000)
Ga (0.000, 0.500, 0.500)
Tc (0.500, 0.500, 0.000)
Rh (0.500, 0.000, 0.500)

16.
A plane-wave DFT calculation with PBE was carried out for a geometry-optimized TiGaTcRh structure.

Results
Raw total energy in eV/atom: -7.76
Symmetry: F-43m, No. 216
ΔE to the lowest computed polymorph in meV/atom: 23
Formation energy in eV/atom: -0.5982

Cell lengths 4.344, 4.344, 4.344 Å; angles 60.00, 60.00, 60.00 degrees
Fractional coordinates of all 4 atoms:
Ti (0.000, 0.000, 0.000)
Ga (0.500, 0.500, 0.500)
Tc (0.750, 0.750, 0.750)
Rh (0.250, 0.250, 0.250)

17.
A plane-wave DFT calculation with PBE was carried out for a geometry-optimized Tl2GaTcRh structure.

Results
Raw total energy in eV/atom: -4.14
Symmetry: P4/mmm, No. 123
Formation energy in eV/atom: 0.9528

Cell lengths 5.222, 5.222, 4.737 Å; angles 90.00, 90.00, 90.00 degrees
Fractional coordinates of all 5 atoms:
Tl (0.000, 0.500, 0.000)
Tl (0.500, 0.000, 0.000)
Ga (0.000, 0.000, 0.500)
Tc (0.000, 0.000, 0.000)
Rh (0.500, 0.500, 0.500)

18.
A plane-wave DFT calculation with PBE was carried out for a geometry-optimized GaTcRhW structure.

Results
Raw total energy in eV/atom: -8.56
Symmetry: F-43m, No. 216
Formation energy in eV/atom: -0.1383

Cell lengths 4.378, 4.378, 4.378 Å; angles 60.00, 60.00, 60.00 degrees
Fractional coordinates of all 4 atoms:
Ga (0.000, 0.000, 0.000)
Tc (0.750, 0.750, 0.750)
Rh (0.250, 0.250, 0.250)
W (0.500, 0.500, 0.500)

19.
A plane-wave DFT calculation with PBE was carried out for a geometry-optimized Zr2Ga5Tc2Rh structure.

Results
Raw total energy in eV/atom: -6.30
Symmetry: P4/mbm, No. 127
Formation energy in eV/atom: -0.2684

Cell lengths 10.108, 10.108, 3.313 Å; angles 90.00, 90.00, 90.00 degrees
Fractional coordinates of all 20 atoms:
Zr (0.181, 0.319, 0.000)
Zr (0.319, 0.819, 0.000)
Zr (0.681, 0.181, 0.000)
Zr (0.819, 0.681, 0.000)
Ga (0.000, 0.500, 0.500)
Ga (0.051, 0.808, 0.500)
Ga (0.192, 0.051, 0.500)
Ga (0.308, 0.551, 0.500)
Ga (0.449, 0.308, 0.500)
Ga (0.500, 0.000, 0.500)
Ga (0.551, 0.692, 0.500)
Ga (0.692, 0.449, 0.500)
Ga (0.808, 0.949, 0.500)
Ga (0.949, 0.192, 0.500)
Tc (0.130, 0.630, 0.000)
Tc (0.370, 0.130, 0.000)
Tc (0.630, 0.870, 0.000)
Tc (0.870, 0.370, 0.000)
Rh (0.000, 0.000, 0.000)
Rh (0.500, 0.500, 0.000)

20.
A plane-wave DFT calculation with PBE was carried out for a geometry-optimized GaTe3Rh structure.

Results
Raw total energy in eV/atom: -3.05
Symmetry: Pm-3m, No. 221
ΔE to the lowest computed polymorph in meV/atom: 654
Formation energy from raw total energies in eV per atom: 0.911

Cell lengths 5.266, 5.266, 5.266 Å; angles 90.00, 90.00, 90.00 degrees
Fractional coordinates of all 5 atoms:
Ga (0.000, 0.000, 0.000)
Te (0.000, 0.000, 0.500)
Te (0.000, 0.500, 0.000)
Te (0.500, 0.000, 0.000)
Rh (0.500, 0.500, 0.500)